FeCuTeO6: optimized geometry, GGA+U.

Values from the calculation:
* V: 10.91 A^3/atom
* total energy: -5.557 eV/atom

a = 4.661 Å, b = 4.661 Å, c = 9.039 Å
α = 90.00°, β = 90.00°, γ = 90.00°
Element x y z (fractional)
Fe 0.000 0.000 0.000
Fe 0.500 0.500 0.500
Cu 0.000 0.000 0.334
Cu 0.500 0.500 0.834
Te 0.000 0.000 0.667
Te 0.500 0.500 0.167
O 0.189 0.189 0.503
O 0.189 0.189 0.834
O 0.195 0.195 0.166
O 0.305 0.695 0.666
O 0.311 0.689 0.003
O 0.311 0.689 0.334
O 0.689 0.311 0.003
O 0.689 0.311 0.334
O 0.695 0.305 0.666
O 0.805 0.805 0.166
O 0.811 0.811 0.503
O 0.811 0.811 0.834